[1]
This record from Alexandria describes an optimized crystal structure of SmTm2ThBi4. The functional is PBE.

The volume comes out at 32.3 Å³ per atom. The density of states at the Fermi level is 1.78 states/eV/f.u. The electronic total energy comes out at -5.347 eV/atom. For the energy relative to the elements, the calculation gives -0.771 eV per atom.

The structure belongs to space group P2/m (No. 10); the cell edges are 7.7823, 4.5156 and 7.8095 Å and the angles 90.00°, 109.51° and 90.00°. The asymmetric unit holds Sm at (0.0000, 0.0000, 0.0000), Tm at (0.5000, 0.0000, 0.5000), Tm at (0.5000, 0.5000, 0.0000), Th at (0.0000, 0.5000, 0.5000), Bi at (0.2598, 0.5000, 0.2522) and Bi at (0.2614, 0.0000, 0.7553).

=====

[2]
This record from Alexandria describes an optimized crystal structure of SmTmTh2Bi5. The functional is PBE.

The volume comes out at 39.3 Å³ per atom. The density of states at the Fermi level is 5.58 states/eV/f.u. The electronic total energy comes out at -4.693 eV/atom. For the energy relative to the elements, the calculation gives 0.133 eV per atom.

The structure belongs to space group P4/mmm (No. 123); the cell edges are 5.4989, 5.4989 and 11.6926 Å and the angles 90.00°, 90.00° and 90.00°. The asymmetric unit holds Sm at (0.0000, 0.0000, 0.0000), Tm at (0.0000, 0.0000, 0.5000), Th at (0.5000, 0.5000, 0.2000), Bi at (0.0000, 0.0000, 0.2557), Bi at (0.0000, 0.5000, 0.0000) and Bi at (0.5000, 0.5000, 0.5000).

=====

[3]
This record from Alexandria describes an optimized crystal structure of SmTm3Th2Bi6. The functional is PBE.

The volume comes out at 32.4 Å³ per atom. The density of states at the Fermi level is 4.85 states/eV/f.u. The electronic total energy comes out at -5.422 eV/atom. For the energy relative to the elements, the calculation gives -0.734 eV per atom.

The structure belongs to space group C2/m (No. 12); the cell edges are 19.6296, 4.5188 and 9.0021 Å and the angles 90.00°, 102.99° and 90.00°. The asymmetric unit holds Sm at (0.0000, 0.0000, 0.0000), Tm at (0.0000, 0.0000, 0.5000), Tm at (0.1662, 0.5000, 0.8339), Th at (0.1652, 0.5000, 0.3312), Bi at (0.0031, 0.5000, 0.7452), Bi at (0.1643, 0.0000, 0.5904) and Bi at (0.1687, 0.0000, 0.0757).

=====

[4]
This record from Alexandria describes an optimized crystal structure of SmTmTh2Bi4. The functional is PBE.

The volume comes out at 33.2 Å³ per atom. The density of states at the Fermi level is 4.57 states/eV/f.u. The electronic total energy comes out at -5.649 eV/atom. For the energy relative to the elements, the calculation gives -0.705 eV per atom.

The structure belongs to space group P2/m (No. 10); the cell edges are 7.8459, 4.5585 and 7.8927 Å and the angles 90.00°, 109.67° and 90.00°. The asymmetric unit holds Sm at (0.0000, 0.0000, 0.0000), Tm at (0.0000, 0.5000, 0.5000), Th at (0.5000, 0.0000, 0.5000), Th at (0.5000, 0.5000, 0.0000), Bi at (0.2401, 0.0000, 0.7429) and Bi at (0.2431, 0.5000, 0.2515).

=====

[5]
This record from Alexandria describes an optimized crystal structure of Sm3TmTh2Bi6. The functional is PBE.

The volume comes out at 33.4 Å³ per atom. The density of states at the Fermi level is 5.01 states/eV/f.u. The electronic total energy comes out at -5.516 eV/atom. For the energy relative to the elements, the calculation gives -0.786 eV per atom.

The structure belongs to space group C2/m (No. 12); the cell edges are 19.8510, 4.5598 and 9.1003 Å and the angles 90.00°, 103.37° and 90.00°. The asymmetric unit holds Sm at (0.0000, 0.0000, 0.0000), Sm at (0.1679, 0.5000, 0.3341), Tm at (0.0000, 0.0000, 0.5000), Th at (0.1646, 0.5000, 0.8307), Bi at (0.0019, 0.5000, 0.2572), Bi at (0.1638, 0.0000, 0.5789) and Bi at (0.1665, 0.0000, 0.0849).

=====

[6]
This record from Alexandria describes an optimized crystal structure of Sm2YThBi5. The functional is PBE.

The volume comes out at 43.6 Å³ per atom. The density of states at the Fermi level is 7.54 states/eV/f.u. The electronic total energy comes out at -4.646 eV/atom. For the energy relative to the elements, the calculation gives 0.101 eV per atom.

The structure belongs to space group P4/mmm (No. 123); the cell edges are 5.7373, 5.7373 and 11.9205 Å and the angles 90.00°, 90.00° and 90.00°. The asymmetric unit holds Sm at (0.0000, 0.0000, 0.2259), Y at (0.5000, 0.5000, 0.5000), Th at (0.5000, 0.5000, 0.0000), Bi at (0.0000, 0.0000, 0.5000), Bi at (0.0000, 0.5000, 0.0000) and Bi at (0.5000, 0.5000, 0.2580).

=====

[7]
This record from Alexandria describes an optimized crystal structure of Sm2YTh3Bi6. The functional is PBE.

The volume comes out at 33.6 Å³ per atom. The density of states at the Fermi level is 6.63 states/eV/f.u. The electronic total energy comes out at -5.865 eV/atom. For the energy relative to the elements, the calculation gives -0.744 eV per atom.

The structure belongs to space group C2/m (No. 12); the cell edges are 19.8996, 4.5715 and 9.1110 Å and the angles 90.00°, 103.07° and 90.00°. The asymmetric unit holds Sm at (0.1667, 0.0000, 0.3332), Y at (0.0000, 0.5000, 0.0000), Th at (0.0000, 0.5000, 0.5000), Th at (0.1677, 0.0000, 0.8332), Bi at (0.0003, 0.0000, 0.2445), Bi at (0.1642, 0.5000, 0.0840) and Bi at (0.1673, 0.5000, 0.5810).

=====

[8]
This record from Alexandria describes an optimized crystal structure of Sm3YTh2Bi6. The functional is PBE.

The volume comes out at 33.6 Å³ per atom. The density of states at the Fermi level is 5.07 states/eV/f.u. The electronic total energy comes out at -5.704 eV/atom. For the energy relative to the elements, the calculation gives -0.809 eV per atom.

The structure belongs to space group C2/m (No. 12); the cell edges are 19.8834, 4.5672 and 9.1151 Å and the angles 90.00°, 103.32° and 90.00°. The asymmetric unit holds Sm at (0.0000, 0.0000, 0.0000), Sm at (0.1671, 0.5000, 0.3339), Y at (0.0000, 0.0000, 0.5000), Th at (0.1649, 0.5000, 0.8306), Bi at (0.0014, 0.5000, 0.2540), Bi at (0.1651, 0.0000, 0.5798) and Bi at (0.1665, 0.0000, 0.0847).